(1)
First-principles (PBE) data for an optimized crystal structure of NaIn3C4O12, as listed in the Alexandria database.

The total energy is -6.6446 eV per atom.

The space group is R32 (No. 155, hexagonal axes) and the conventional cell measures 10.1263, 10.1263 and 8.6756 Å, with angles of 90.00, 90.00 and 120.00 degrees. The distinct sites, in fractional coordinates, are Na at (0.0000, 0.0000, 0.0000), In at (0.0000, 0.5223, 0.0000), C at (0.0000, 0.0000, 0.5000), C at (0.0000, 0.4744, 0.5000), O at (0.0000, 0.6054, 0.5000), O at (0.0000, 0.8714, 0.5000) and O at (0.0165, 0.2038, 0.8221).

=====

(2)
First-principles (PBE) data for an optimized crystal structure of Pm2Ga3Au5, as listed in the Alexandria database.

As for the energy above the most stable polymorph in this dataset: 0.002 eV per atom. The total energy is -4.0985 eV per atom.

The space group is Cmc2_1 (No. 36) and the conventional cell measures 4.5818, 24.7164 and 7.2259 Å, with angles of 90.00, 90.00 and 90.00 degrees. The distinct sites, in fractional coordinates, are Pm at (0.0000, 0.0198, 0.0000), Pm at (0.0000, 0.3248, 0.0005), Ga at (0.0000, 0.1030, 0.3219), Ga at (0.0000, 0.2721, 0.4754), Ga at (0.0000, 0.4492, 0.1900), Au at (0.0000, 0.1044, 0.6924), Au at (0.0000, 0.1994, 0.1828), Au at (0.0000, 0.2147, 0.7784), Au at (0.0000, 0.3801, 0.4783) and Au at (0.0000, 0.4487, 0.8037).

=====

(3)
First-principles (PBE) data for an optimized crystal structure of MgZnCo2H, as listed in the Alexandria database.

The total energy is -4.0567 eV per atom.

The space group is P4/mmm (No. 123) and the conventional cell measures 3.6848, 3.6848 and 3.9330 Å, with angles of 90.00, 90.00 and 90.00 degrees. The distinct sites, in fractional coordinates, are Mg at (0.0000, 0.0000, 0.0000), Zn at (0.5000, 0.5000, 0.0000), Co at (0.0000, 0.5000, 0.5000) and H at (0.0000, 0.0000, 0.5000).

=====

(4)
First-principles (PBE) data for an optimized crystal structure of Sc2TaCd, as listed in the Alexandria database.

The total energy is -6.2239 eV per atom.

The space group is I-4m2 (No. 119) and the conventional cell measures 4.2594, 4.2594 and 9.2077 Å, with angles of 90.00, 90.00 and 90.00 degrees. The distinct sites, in fractional coordinates, are Sc at (0.0000, 0.0000, 0.0000), Sc at (0.0000, 0.5000, 0.2500), Ta at (0.0000, 0.5000, 0.7500) and Cd at (0.0000, 0.0000, 0.5000).

=====

(5)
First-principles (PBE) data for an optimized crystal structure of Nd6InHg3, as listed in the Alexandria database.

The total energy is -3.5784 eV per atom.

The space group is P2_1/m (No. 11) and the conventional cell measures 9.6676, 5.3713 and 11.8884 Å, with angles of 90.00, 105.83 and 90.00 degrees. The distinct sites, in fractional coordinates, are Nd at (0.0276, 0.2500, 0.4054), Nd at (0.1520, 0.7500, 0.1807), Nd at (0.2438, 0.2500, 0.9977), Nd at (0.3422, 0.7500, 0.8184), Nd at (0.3760, 0.2500, 0.3420), Nd at (0.3910, 0.2500, 0.6170), In at (0.4512, 0.7500, 0.1085), Hg at (0.0266, 0.7500, 0.8777), Hg at (0.1209, 0.2500, 0.7158) and Hg at (0.2731, 0.7500, 0.4706).

=====

(6)
First-principles (PBE) data for an optimized crystal structure of TbY3Tm2Bi6, as listed in the Alexandria database.

The total energy is -5.5431 eV per atom.

The space group is C2/m (No. 12) and the conventional cell measures 7.7414, 13.4106 and 7.7360 Å, with angles of 90.00, 109.46 and 90.00 degrees. The distinct sites, in fractional coordinates, are Tb at (0.0000, 0.0000, 0.0000), Y at (0.0000, 0.1654, 0.5000), Y at (0.0000, 0.5000, 0.5000), Tm at (0.0000, 0.3329, 0.0000), Bi at (0.2461, 0.5000, 0.2466) and Bi at (0.2493, 0.3321, 0.7520).

=====

(7)
First-principles (PBE) data for an optimized crystal structure of BTeH3, as listed in the Alexandria database.

As for the energy above the most stable polymorph in this dataset: 0.000 eV per atom. The total energy is -3.9569 eV per atom.

The space group is P1 (No. 1) and the conventional cell measures 3.1540, 5.4534 and 9.1536 Å, with angles of 102.11, 99.85 and 90.00 degrees. The distinct sites, in fractional coordinates, are B at (0.0000, 0.0000, 0.0000), B at (0.4492, 0.7884, 0.8976), Te at (0.6264, 0.6234, 0.3820), Te at (0.6921, 0.1659, 0.5157), H at (0.1243, 0.1937, 0.9764), H at (0.2498, 0.7710, 0.7714), H at (0.2568, 0.8180, 0.0138), H at (0.5970, 0.5948, 0.9213), H at (0.6923, 0.9705, 0.8838) and H at (0.9259, 0.0173, 0.1261).

=====

(8)
First-principles (PBE) data for an optimized crystal structure of NaMn2Zn, as listed in the Alexandria database.

The total energy is -4.4742 eV per atom.

The space group is I-42d (No. 122) and the conventional cell measures 3.8980, 3.8980 and 19.4983 Å, with angles of 90.00, 90.00 and 90.00 degrees. The distinct sites, in fractional coordinates, are Na at (0.0000, 0.0000, 0.0000), Mn at (0.2290, 0.2500, 0.6250) and Zn at (0.0000, 0.0000, 0.5000).